No. 1
## Co2BiO (PBEsol)

Data for Co2BiO after structural relaxation.

- DOS at the Fermi energy (states/eV per atom) = 1.215
- VASP energy (eV per atom) = -5.7291

Geometry as CIF:
```
data_Co2BiO
_cell_length_a 5.930
_cell_length_b 5.930
_cell_length_c 5.930
_cell_angle_alpha 90.00
_cell_angle_beta 90.00
_cell_angle_gamma 90.00
_symmetry_space_group_name_H-M 'F m -3 m'
_symmetry_Int_Tables_number 225
_symmetry_space_group_name_Hall '-F 4 2 3'
loop_
_atom_site_label
_atom_site_type_symbol
_atom_site_fract_x
_atom_site_fract_y
_atom_site_fract_z
Co1 Co 0.250 0.250 0.250
Bi1 Bi 0.000 0.000 0.000
O1 O 0.000 0.000 0.500
```

***

No. 2
## RbReNF2 (PBEsol)

Data for RbReNF2 after structural relaxation.

- DOS at the Fermi energy (states/eV per atom) = 0.487
- VASP energy (eV per atom) = -3.9937

Geometry as CIF:
```
data_RbReNF2
_cell_length_a 4.840
_cell_length_b 4.840
_cell_length_c 5.065
_cell_angle_alpha 90.00
_cell_angle_beta 90.00
_cell_angle_gamma 90.00
_symmetry_space_group_name_H-M 'P 4/m m m'
_symmetry_Int_Tables_number 123
_symmetry_space_group_name_Hall '-P 4 2'
loop_
_atom_site_label
_atom_site_type_symbol
_atom_site_fract_x
_atom_site_fract_y
_atom_site_fract_z
Rb1 Rb 0.000 0.000 0.000
Re1 Re 0.500 0.500 0.500
N1 N 0.000 0.000 0.500
F1 F 0.000 0.500 0.000
```

***

> Among the records above, which one has the lowest DOS at the Fermi energy?

RbReNF2